Record 1
This record from Alexandria via LeMat-Bulk describes Mg2Be2As after structural relaxation. The functional is GGA-PBEsol.

abc: 4.0789 6.0826 6.0826
angles: 90.00 90.00 90.00
With the nearest neighbours (Å) after each atom.
Sites, in units of the cell vectors:
Mg 0.5000 0.8334 0.3334  6 Be 2.71-2.72, 1 Mg 2.87
Mg 0.5000 0.6666 0.8334  6 Be 2.71-2.72, 1 Mg 2.87
Mg 0.5000 0.1666 0.6666  6 Be 2.71-2.72, 1 Mg 2.87
Mg 0.5000 0.3334 0.1666  6 Be 2.71-2.72, 1 Mg 2.87
Be 0.0000 0.8742 0.6258  1 Be 2.16, 2 As 2.40
Be 0.0000 0.3742 0.8742  1 Be 2.16, 2 As 2.40
Be 0.0000 0.6258 0.1258  1 Be 2.16, 2 As 2.40
Be 0.0000 0.1258 0.3742  1 Be 2.16, 2 As 2.40
As 0.0000 0.5000 0.5000  4 Be 2.40
As 0.0000 0.0000 0.0000  4 Be 2.40

Values from the calculation:
Theoretical density   3.1 g cm⁻³
Raw total energy   -32.1 eV for the cell shown
Energy of formation from the pure elements   95 meV/atom

***

Record 2
This record from Alexandria via LeMat-Bulk describes LiTi3VO8 after structural relaxation. The functional is GGA-PBEsol.

abc: 5.8625 5.8625 5.9932
angles: 60.72 60.72 60.00
With the nearest neighbours (Å) after each atom.
Sites, in units of the cell vectors:
O 0.2389 0.2389 0.7932  2 Ti 1.96, 1 V 2.01
O 0.7611 0.7611 0.2068  2 Ti 1.96, 1 V 2.01
O 0.7289 0.2389 0.7932  2 Ti 1.96, 1 V 2.01
O 0.2711 0.7611 0.2068  2 Ti 1.96, 1 V 2.01
O 0.7332 0.7332 0.8003  3 Ti 1.96
O 0.2668 0.2668 0.1997  3 Ti 1.96
O 0.2389 0.7289 0.7932  2 Ti 1.96, 1 V 2.01
O 0.7611 0.2711 0.2068  2 Ti 1.96, 1 V 2.01
Li 0.5000 0.5000 0.5000  6 O 2.20
V 0.0000 0.0000 0.0000  6 O 2.01
Ti 0.0000 0.5000 0.0000  6 O 1.96
Ti 0.5000 0.0000 0.0000  6 O 1.96
Ti 0.5000 0.5000 0.0000  6 O 1.96

Values from the calculation:
Theoretical density   3.7 g cm⁻³
Raw total energy   -113.7 eV for the cell shown
Raw formation energy   -2.70 eV per atom